Entry 1:
The following is a PBE calculation of an optimized crystal structure of Ti2CrBi2, from Alexandria via LeMat-Bulk.

Results
energy above the most stable polymorph in this dataset: 0.000 eV per atom
ΔH_f (0 K): 2.3 eV per formula unit
symmetry: P4/mbm, No. 127
magnetization: 0.00 μB per cell
N(E_F): 12.254 states/eV/cell

POSCAR file:
```
Ti2CrBi2
1.0
-5.230 1.995 3.585
-2.484 -6.163 -0.195
2.309 -1.056 3.955
Cr Bi Ti
2 4 4
Cartesian
0.000 0.000 0.000
-3.857 -2.084 1.695
-1.437 -4.338 2.473
-4.426 -4.266 4.237
-3.969 -0.885 4.872
-0.981 -0.957 3.109
-3.886 -4.510 1.065
-6.041 -2.370 2.893
-3.829 0.342 2.326
-1.674 -1.798 0.497
```

***

Entry 2:
The following is a PBE calculation of an optimized crystal structure of TiCrBi, from Alexandria via LeMat-Bulk.

Results
ΔH_f (0 K): 0.2 eV per formula unit
symmetry: I4/mmm, No. 139
magnetization: 0.00 μB per cell
N(E_F): 5.252 states/eV/cell

POSCAR file:
```
TiCrBi
1.0
-3.181 0.296 -0.465
0.282 -1.467 -2.862
-0.294 -9.947 6.891
Cr Ti Bi
2 2 2
Cartesian
-0.973 -5.876 2.916
-2.220 -5.242 0.648
-0.584 -3.527 1.750
-2.609 -7.591 1.814
-1.736 -2.317 -0.804
-1.457 -8.801 4.368
```

***

Entry 3:
The following is a PBE calculation of an optimized crystal structure of TiCrBi2, from Alexandria via LeMat-Bulk.

Results
energy above the most stable polymorph in this dataset: 0.019 eV per atom
ΔH_f (0 K): 2.0 eV per formula unit
symmetry: Fm-3m, No. 225
magnetization: 0.00 μB per cell
N(E_F): 3.041 states/eV/cell

POSCAR file:
```
TiCrBi2
1.0
3.193 -3.588 0.748
1.386 -1.116 4.524
-1.460 -4.169 2.030
Cr Bi Ti
1 2 1
Cartesian
1.560 -4.436 3.651
0.780 -2.218 1.825
2.340 -6.655 5.476
0.000 0.000 0.000
```

***

Entry 4:
The following is a PBE calculation of an optimized crystal structure of Ti8CrBi2, from Alexandria via LeMat-Bulk.

Results
ΔH_f (0 K): -0.4 eV per formula unit
symmetry: C2/m, No. 12
magnetization: 0.01 μB per cell
N(E_F): 12.319 states/eV/cell

POSCAR file:
```
Ti8CrBi2
1.0
4.745 0.000 0.000
0.000 6.245 -0.177
-2.373 -2.918 6.822
Ti Cr Bi
8 1 2
Cartesian
0.000 1.640 5.026
2.373 4.664 1.546
2.373 3.260 4.414
2.373 -1.324 6.775
0.000 0.067 2.231
0.000 -1.337 5.098
2.373 1.687 1.619
0.000 4.651 -0.130
2.373 0.000 0.000
2.373 0.130 4.173
0.000 3.197 2.472
```

***

Entry 5:
The following is a PBE calculation of an optimized crystal structure of TiCrBi2, from Alexandria via LeMat-Bulk.

Results
energy above the most stable polymorph in this dataset: 0.000 eV per atom
ΔH_f (0 K): 1.9 eV per formula unit
symmetry: I-42d, No. 122
magnetization: 6.29 μB per cell
N(E_F): 9.579 states/eV/cell

POSCAR file:
```
TiCrBi2
1.0
7.756 0.000 0.000
0.000 7.756 0.000
3.878 3.878 3.281
Cr Bi Ti
2 4 2
Cartesian
0.000 0.000 0.000
7.756 3.878 1.640
5.870 1.939 0.820
1.887 5.817 0.820
5.817 5.765 2.461
9.696 9.748 2.461
3.878 3.878 0.000
3.878 7.756 1.640
```

***

Entry 6:
The following is a PBE calculation of an optimized crystal structure of Tl2CrBi, from Alexandria via LeMat-Bulk.

Results
energy above the most stable polymorph in this dataset: 0.028 eV per atom
ΔH_f (0 K): 1.8 eV per formula unit
symmetry: Fm-3m, No. 225
magnetization: 4.95 μB per cell
N(E_F): 0.839 states/eV/cell

POSCAR file:
```
Tl2CrBi
1.0
0.000 3.816 3.816
3.816 0.000 3.816
3.816 3.816 0.000
Cr Tl Bi
1 2 1
Cartesian
0.000 0.000 0.000
1.908 1.908 1.908
5.724 5.724 5.724
3.816 3.816 3.816
```

***

Entry 7:
The following is a PBE calculation of an optimized crystal structure of Tl2CrBi, from Alexandria via LeMat-Bulk.

Results
energy above the most stable polymorph in this dataset: 0.000 eV per atom
ΔH_f (0 K): 1.7 eV per formula unit
symmetry: I-42d, No. 122
magnetization: 8.17 μB per cell
N(E_F): 4.546 states/eV/cell

POSCAR file:
```
Tl2CrBi
1.0
-4.212 -1.017 -0.832
1.294 -3.698 -2.028
-2.057 -8.031 8.535
Cr Tl Bi
2 4 2
Cartesian
-1.459 -2.358 -1.430
-1.111 -7.044 2.539
-2.946 -3.096 1.368
-0.271 -4.456 0.755
-2.625 -7.826 5.310
-4.108 -10.115 3.918
0.000 0.000 0.000
-3.864 -5.703 3.137
```

***

Entry 8:
The following is a PBE calculation of an optimized crystal structure of TlCrBi, from Alexandria via LeMat-Bulk.

Results
ΔH_f (0 K): 0.9 eV per formula unit
symmetry: P4/nmm, No. 129
magnetization: 8.00 μB per cell
N(E_F): 2.460 states/eV/cell

POSCAR file:
```
TlCrBi
1.0
4.887 0.000 0.000
0.000 4.887 0.000
0.000 0.000 7.199
Cr Tl Bi
2 2 2
Cartesian
0.000 0.000 3.600
2.444 2.444 3.600
0.000 2.444 5.850
2.444 0.000 1.349
0.000 2.444 2.018
2.444 0.000 5.181
```

***

Entry 9:
The following is a PBE calculation of an optimized crystal structure of TlCrBi3, from Alexandria via LeMat-Bulk.

Results
energy above the most stable polymorph in this dataset: 0.000 eV per atom
ΔH_f (0 K): 1.9 eV per formula unit
symmetry: Pm-3m, No. 221
magnetization: 2.07 μB per cell
N(E_F): 2.912 states/eV/cell

POSCAR file:
```
TlCrBi3
1.0
-2.563 4.687 -0.551
-4.538 -2.620 -1.175
-1.294 -0.095 5.211
Cr Tl Bi
1 1 3
Cartesian
0.000 0.000 0.000
-4.198 0.986 1.743
-2.269 -1.310 -0.588
-0.647 -0.048 2.606
-1.282 2.344 -0.275
```

***

Entry 10:
The following is a PBE calculation of an optimized crystal structure of TlCrBi2W, from Alexandria via LeMat-Bulk.

Results
ΔH_f (0 K): 12.9 eV per formula unit
symmetry: P4/mmm, No. 123
magnetization: 0.09 μB per cell
N(E_F): 8.490 states/eV/cell

POSCAR file:
```
TlCrBi2W
1.0
-2.383 4.211 2.930
-3.188 0.932 -3.933
-3.748 -3.636 2.176
Cr Tl Bi W
1 1 2 1
Cartesian
-4.660 0.754 0.586
0.000 0.000 0.000
-1.874 -1.818 1.088
-1.192 2.106 1.465
-1.594 0.466 -1.967
```

***

Entry 11:
The following is a PBE calculation of an optimized crystal structure of UCrBi, from Alexandria via LeMat-Bulk.

Results
ΔH_f (0 K): 0.6 eV per formula unit
symmetry: I4/mmm, No. 139
magnetization: 1.79 μB per cell
N(E_F): 7.861 states/eV/cell

POSCAR file:
```
UCrBi
1.0
3.046 0.000 0.000
0.000 3.046 0.000
-1.523 -1.523 14.806
Cr U Bi
2 2 2
Cartesian
0.000 0.000 8.062
1.523 1.523 6.744
0.000 0.000 4.868
1.523 1.523 9.938
1.523 1.523 2.165
0.000 0.000 12.641
```

***

Entry 12:
The following is a PBE calculation of an optimized crystal structure of VCrBi2, from Alexandria via LeMat-Bulk.

Results
energy above the most stable polymorph in this dataset: 0.114 eV per atom
ΔH_f (0 K): 2.8 eV per formula unit
symmetry: I-42d, No. 122
magnetization: 13.00 μB per cell
N(E_F): 9.448 states/eV/cell

POSCAR file:
```
VCrBi2
1.0
7.740 0.000 0.000
0.000 7.740 0.000
3.870 3.870 3.305
Cr Bi V
2 4 2
Cartesian
0.000 0.000 0.000
7.740 3.870 1.652
5.810 1.935 0.826
1.929 5.805 0.826
5.805 5.799 2.479
9.674 9.680 2.479
3.870 3.870 0.000
3.870 7.740 1.652
```

***

Entry 13:
The following is a PBE calculation of an optimized crystal structure of V3CrBi, from Alexandria via LeMat-Bulk.

Results
energy above the most stable polymorph in this dataset: 0.000 eV per atom
ΔH_f (0 K): 3.8 eV per formula unit
symmetry: Pm-3m, No. 221
magnetization: 0.00 μB per cell
N(E_F): 5.040 states/eV/cell

POSCAR file:
```
V3CrBi
1.0
-3.943 0.896 1.821
-0.125 -4.078 1.737
2.026 1.493 3.651
Cr Bi V
1 1 3
Cartesian
0.000 0.000 0.000
-1.021 -0.845 3.604
-0.062 -2.039 0.868
1.013 0.746 1.826
-1.971 0.448 0.911
```

***

Entry 14:
The following is a PBE calculation of an optimized crystal structure of VCrBi2, from Alexandria via LeMat-Bulk.

Results
energy above the most stable polymorph in this dataset: 0.000 eV per atom
ΔH_f (0 K): 2.3 eV per formula unit
symmetry: Fm-3m, No. 225
magnetization: 6.87 μB per cell
N(E_F): 5.949 states/eV/cell

POSCAR file:
```
VCrBi2
1.0
0.000 3.580 3.580
3.580 0.000 3.580
3.580 3.580 0.000
Cr Bi V
1 2 1
Cartesian
3.580 3.580 3.580
1.790 1.790 1.790
5.369 5.369 5.369
0.000 0.000 0.000
```

***

Entry 15:
The following is a PBE calculation of an optimized crystal structure of VCrBi, from Alexandria via LeMat-Bulk.

Results
ΔH_f (0 K): 1.5 eV per formula unit
symmetry: C2/m, No. 12
magnetization: 0.00 μB per cell
N(E_F): 6.902 states/eV/cell

POSCAR file:
```
VCrBi
1.0
3.040 0.000 0.000
-1.520 4.075 -0.438
0.000 -3.580 10.446
Cr Bi V
2 2 2
Cartesian
0.000 1.141 0.431
1.520 -0.646 9.578
0.000 1.225 3.310
1.520 -0.731 6.698
0.000 -2.306 8.674
1.520 2.801 1.334
```

***

Entry 16:
The following is a PBE calculation of an optimized crystal structure of VCrBi3, from Alexandria via LeMat-Bulk.

Results
energy above the most stable polymorph in this dataset: 0.000 eV per atom
ΔH_f (0 K): 3.7 eV per formula unit
symmetry: Pm-3m, No. 221
magnetization: 5.31 μB per cell
N(E_F): 4.686 states/eV/cell

POSCAR file:
```
VCrBi3
1.0
-1.103 -4.888 1.695
4.978 -1.475 -1.015
1.410 1.383 4.907
Cr Bi V
1 3 1
Cartesian
2.643 -2.490 2.794
2.489 -0.737 -0.507
0.705 0.692 2.454
-0.551 -2.444 0.847
0.000 0.000 0.000
```

***

Entry 17:
The following is a PBE calculation of an optimized crystal structure of VCrBiW2, from Alexandria via LeMat-Bulk.

Results
ΔH_f (0 K): 6.3 eV per formula unit
symmetry: P4/mmm, No. 123
magnetization: 0.00 μB per cell
N(E_F): 6.101 states/eV/cell

POSCAR file:
```
VCrBiW2
1.0
4.643 0.000 0.000
0.000 4.386 0.000
0.000 0.000 4.643
Cr Bi W V
1 1 2 1
Cartesian
0.000 0.000 0.000
2.321 2.193 2.321
0.000 0.000 2.321
2.321 0.000 0.000
0.000 2.193 0.000
```

***

Entry 18:
The following is a PBE calculation of an optimized crystal structure of Cr2BiW, from Alexandria via LeMat-Bulk.

Results
ΔH_f (0 K): 5.2 eV per formula unit
symmetry: I-42d, No. 122
magnetization: 0.00 μB per cell
N(E_F): 13.447 states/eV/cell

POSCAR file:
```
Cr2BiW
1.0
4.156 0.000 0.000
0.000 4.156 0.000
2.078 2.078 8.629
Cr Bi W
4 2 2
Cartesian
2.760 1.039 2.157
1.395 3.117 2.157
3.117 3.473 6.472
5.195 4.838 6.472
0.000 0.000 0.000
4.156 2.078 4.315
2.078 2.078 0.000
2.078 4.156 4.315
```

***

Entry 19:
The following is a PBE calculation of an optimized crystal structure of CrBiW3, from Alexandria via LeMat-Bulk.

Results
energy above the most stable polymorph in this dataset: 0.000 eV per atom
ΔH_f (0 K): 7.5 eV per formula unit
symmetry: Pm-3m, No. 221
magnetization: 0.00 μB per cell
N(E_F): 6.289 states/eV/cell

POSCAR file:
```
CrBiW3
1.0
4.618 0.000 0.000
0.000 4.618 0.000
0.000 0.000 4.618
Cr Bi W
1 1 3
Cartesian
0.000 0.000 0.000
2.309 2.309 2.309
0.000 2.309 0.000
0.000 0.000 2.309
2.309 0.000 0.000
```

***

Entry 20:
The following is a PBE calculation of an optimized crystal structure of CrBi2W, from Alexandria via LeMat-Bulk.

Results
energy above the most stable polymorph in this dataset: 0.000 eV per atom
ΔH_f (0 K): 3.4 eV per formula unit
symmetry: Fm-3m, No. 225
magnetization: 2.79 μB per cell
N(E_F): 2.164 states/eV/cell

POSCAR file:
```
CrBi2W
1.0
3.173 -2.638 -2.682
-0.044 -4.914 0.266
-1.616 -2.657 -3.814
Cr Bi W
1 2 1
Cartesian
0.000 0.000 0.000
0.378 -2.552 -1.557
1.134 -7.656 -4.672
0.756 -5.104 -3.115
```